Entry 1:
Density functional theory data (PBE) for PmCu6Pd6 after structural relaxation.

Computed properties:
Uncorrected energy (eV/atom): -4.980
Calculated density (g/cm³): 10.0
Formation energy (eV per atom): -0.327

a b c (Å): 6.703 6.703 6.703
angles (deg): 136.08 99.22 96.86
Atoms (fractional coordinates):
Pm 0.000 0.000 0.000
Cu 0.000 0.000 0.500
Cu 0.000 0.500 0.000
Cu 0.236 0.736 0.500
Cu 0.500 0.000 0.000
Cu 0.500 0.500 0.500
Cu 0.764 0.264 0.500
Pd 0.194 0.500 0.694
Pd 0.344 0.000 0.344
Pd 0.348 0.348 0.000
Pd 0.652 0.652 0.000
Pd 0.656 0.000 0.656
Pd 0.806 0.500 0.306

---

Entry 2:
Density functional theory data (PBE) for Tb4NdDy5 after structural relaxation.

Computed properties:
Uncorrected energy (eV/atom): -4.333
Calculated density (g/cm³): 8.1
Formation energy (eV per atom): 0.297

a b c (Å): 7.884 7.884 7.884
angles (deg): 99.10 99.10 133.14
Atoms (fractional coordinates):
Tb 0.048 0.349 0.397
Tb 0.349 0.952 0.301
Tb 0.651 0.048 0.699
Tb 0.952 0.651 0.603
Nd 0.768 0.768 0.000
Dy 0.226 0.226 0.000
Dy 0.264 0.644 0.916
Dy 0.348 0.264 0.620
Dy 0.644 0.728 0.380
Dy 0.728 0.348 0.084

---

Entry 3:
Density functional theory data (PBE) for HfH after structural relaxation.

Computed properties:
Uncorrected energy (eV/atom): -6.727
Calculated density (g/cm³): 10.7

a b c (Å): 7.724 7.724 3.236
angles (deg): 90.00 90.00 120.00
Atoms (fractional coordinates):
Hf 0.139 0.725 0.250
Hf 0.275 0.414 0.250
Hf 0.414 0.139 0.750
Hf 0.586 0.861 0.250
Hf 0.725 0.586 0.750
Hf 0.861 0.275 0.750
H 0.023 0.421 0.250
H 0.399 0.977 0.250
H 0.421 0.399 0.750
H 0.579 0.601 0.250
H 0.601 0.023 0.750
H 0.977 0.579 0.750

---

Entry 4:
Density functional theory data (PBE) for CePmSeO2 after structural relaxation.

Computed properties:
Uncorrected energy (eV/atom): -7.774
Raw formation energy (eV per atom): -2.96
Calculated density (g/cm³): 6.8

a b c (Å): 6.842 6.842 6.842
angles (deg): 146.51 146.51 48.08
Atoms (fractional coordinates):
Ce 0.000 0.000 0.000
Pm 0.304 0.304 0.000
Se 0.654 0.654 0.000
O 0.402 0.902 0.500
O 0.902 0.402 0.500

---

Entry 5:
Density functional theory data (PBE) for HoErInNi after structural relaxation.

Computed properties:
Uncorrected energy (eV/atom): -4.743
Calculated density (g/cm³): 9.2
Formation energy (eV per atom): -0.327

a b c (Å): 5.058 5.058 5.058
angles (deg): 60.00 60.00 60.00
Atoms (fractional coordinates):
Ho 0.000 0.000 0.000
Er 0.500 0.500 0.500
In 0.250 0.250 0.250
Ni 0.750 0.750 0.750

---

Entry 6:
Density functional theory data (PBE) for TcSbAs2 after structural relaxation.

Computed properties:
Uncorrected energy (eV/atom): -5.361
Raw formation energy (eV per atom): 0.59
Calculated density (g/cm³): 8.2

a b c (Å): 4.802 4.802 3.262
angles (deg): 90.00 90.00 90.00
Atoms (fractional coordinates):
Tc 0.000 0.000 0.000
Sb 0.500 0.500 0.000
As 0.000 0.500 0.500
As 0.500 0.000 0.500

---

Entry 7:
Density functional theory data (PBE) for SrErBeN2 after structural relaxation.

Computed properties:
Uncorrected energy (eV/atom): -6.186
Raw formation energy (eV per atom): -0.86
Calculated density (g/cm³): 5.3

a b c (Å): 5.132 5.375 6.644
angles (deg): 90.00 90.00 90.00
Atoms (fractional coordinates):
Sr 0.000 0.000 0.250
Sr 0.000 0.000 0.750
Er 0.500 0.500 0.250
Er 0.500 0.500 0.750
Be 0.000 0.500 0.000
Be 0.000 0.500 0.500
N 0.241 0.328 0.000
N 0.241 0.672 0.500
N 0.759 0.328 0.500
N 0.759 0.672 0.000

---

Entry 8:
Density functional theory data (PBE) for PaMoSe4 after structural relaxation.

Computed properties:
Uncorrected energy (eV/atom): -6.455
Raw formation energy (eV per atom): -0.74
Calculated density (g/cm³): 7.1

a b c (Å): 7.321 6.099 7.421
angles (deg): 90.00 115.17 90.00
Atoms (fractional coordinates):
Pa 0.000 0.000 0.000
Pa 0.000 0.500 0.500
Mo 0.500 0.000 0.000
Mo 0.500 0.500 0.500
Se 0.207 0.226 0.360
Se 0.207 0.274 0.860
Se 0.345 0.740 0.175
Se 0.345 0.760 0.675
Se 0.655 0.240 0.325
Se 0.655 0.260 0.825
Se 0.793 0.726 0.140
Se 0.793 0.774 0.640

---

Entry 9:
Density functional theory data (PBE) for Ba4AgPt after structural relaxation.

Computed properties:
Uncorrected energy (eV/atom): -2.181
Energy relative to the lowest polymorph listed for this composition (eV per atom): 0.959
Calculated density (g/cm³): 6.0
Formation energy (eV per atom): 0.583

a b c (Å): 6.923 6.923 6.923
angles (deg): 60.00 60.00 60.00
Atoms (fractional coordinates):
Ba 0.124 0.124 0.124
Ba 0.124 0.124 0.628
Ba 0.124 0.628 0.124
Ba 0.628 0.124 0.124
Ag 0.500 0.500 0.500
Pt 0.750 0.750 0.750

---

Entry 10:
Density functional theory data (PBE) for KLaRu2 after structural relaxation.

Computed properties:
Uncorrected energy (eV/atom): -5.648
Energy relative to the lowest polymorph listed for this composition (eV per atom): 0.210
Calculated density (g/cm³): 4.6
Formation energy (eV per atom): 0.496

a b c (Å): 5.400 5.400 7.358
angles (deg): 117.85 117.85 47.80
Atoms (fractional coordinates):
K 0.000 0.000 0.000
La 0.500 0.500 0.500
Ru 0.264 0.264 0.574
Ru 0.736 0.736 0.426

---

Entry 11:
Density functional theory data (PBE) for LiPuAl2 after structural relaxation.

Computed properties:
Uncorrected energy (eV/atom): -6.005
Energy relative to the lowest polymorph listed for this composition (eV per atom): 0.089
Calculated density (g/cm³): 6.4
Formation energy (eV per atom): -0.072

a b c (Å): 4.825 4.825 4.825
angles (deg): 60.00 60.00 60.00
Atoms (fractional coordinates):
Li 0.000 0.000 0.000
Pu 0.500 0.500 0.500
Al 0.250 0.250 0.250
Al 0.750 0.750 0.750

---

Entry 12:
Density functional theory data (PBE) for PuTi2Ge after structural relaxation.

Computed properties:
Uncorrected energy (eV/atom): -8.873
Energy relative to the lowest polymorph listed for this composition (eV per atom): 0.099
Calculated density (g/cm³): 9.6
Formation energy (eV per atom): -0.188

a b c (Å): 4.650 4.650 4.650
angles (deg): 60.00 60.00 60.00
Atoms (fractional coordinates):
Pu 0.000 0.000 0.000
Ti 0.250 0.250 0.250
Ti 0.750 0.750 0.750
Ge 0.500 0.500 0.500